No. 1
! Sm2HgHPd6 | Alexandria | PBE | optimized geometry; values from VASP
&SYSTEM
  ibrav = 0, nat = 10, ntyp = 4
/
ATOMIC_SPECIES
Sm 150.36 Sm.upf
Hg 200.59 Hg.upf
H 1.01 H.upf
Pd 106.42 Pd.upf
CELL_PARAMETERS angstrom
4.861 -2.903 0.000
4.861 2.903 0.000
-3.158 0.000 6.427
ATOMIC_POSITIONS angstrom
Sm 1.419 0.000 1.943
Sm 5.146 0.000 4.484
Hg -1.579 0.000 3.213
H 4.861 0.000 0.000
Pd 3.741 1.477 0.894
Pd 0.459 0.000 4.958
Pd 2.823 1.477 5.532
Pd 3.741 -1.477 0.894
Pd 6.105 0.000 1.469
Pd 2.823 -1.477 5.532
! VASP energy, eV/atom: -4.98
! Space group: C2/m, No. 12
! DOS at the Fermi energy, states/eV per atom: 0.343

***

No. 2
! SmHgHPd2 | Alexandria | PBE | optimized geometry; values from VASP
&SYSTEM
  ibrav = 0, nat = 5, ntyp = 4
/
ATOMIC_SPECIES
Sm 150.36 Sm.upf
Hg 200.59 Hg.upf
H 1.01 H.upf
Pd 106.42 Pd.upf
CELL_PARAMETERS angstrom
4.286 0.000 0.000
0.000 4.286 0.000
0.000 0.000 4.582
ATOMIC_POSITIONS angstrom
Sm 0.000 0.000 0.000
Hg 2.143 2.143 0.031
H 0.000 0.000 2.293
Pd 0.000 2.143 2.297
Pd 2.143 0.000 2.297
! VASP energy, eV/atom: -4.12
! Space group: P4mm, No. 99
! DOS at the Fermi energy, states/eV per atom: 0.643

***

No. 3
! Sr2HgHPd | Alexandria | PBE | optimized geometry; values from VASP
&SYSTEM
  ibrav = 0, nat = 5, ntyp = 4
/
ATOMIC_SPECIES
Sr 87.62 Sr.upf
Hg 200.59 Hg.upf
H 1.01 H.upf
Pd 106.42 Pd.upf
CELL_PARAMETERS angstrom
5.507 0.000 0.000
0.000 5.507 0.000
0.000 0.000 3.815
ATOMIC_POSITIONS angstrom
Sr 0.000 2.754 0.000
Sr 2.754 0.000 0.000
Hg 0.000 0.000 1.907
H 2.754 2.754 0.000
Pd 2.754 2.754 1.907
! VASP energy, eV/atom: -2.96
! Space group: P4/mmm, No. 123
! DOS at the Fermi energy, states/eV per atom: 0.441

***

No. 4
! Sr2HgHPd6 | Alexandria | PBE | optimized geometry; values from VASP
&SYSTEM
  ibrav = 0, nat = 10, ntyp = 4
/
ATOMIC_SPECIES
Sr 87.62 Sr.upf
Hg 200.59 Hg.upf
H 1.01 H.upf
Pd 106.42 Pd.upf
CELL_PARAMETERS angstrom
5.028 -2.918 0.000
5.028 2.918 0.000
-3.353 0.000 6.531
ATOMIC_POSITIONS angstrom
Sr 1.682 0.000 1.133
Sr 5.021 0.000 5.399
Hg 5.028 0.000 0.000
H -1.676 0.000 3.266
Pd -0.002 0.000 4.368
Pd 2.490 1.441 4.349
Pd 4.212 1.441 2.183
Pd 2.490 -1.441 4.349
Pd 4.212 -1.441 2.183
Pd 6.705 0.000 2.163
! VASP energy, eV/atom: -4.25
! Space group: C2/m, No. 12
! DOS at the Fermi energy, states/eV per atom: 0.403